Record 1
# RbNa2PS4 GGA-PBE relaxed
# ΔE_f (raw) = -43 kJ/mol of atoms
# Crystal system = monoclinic
# Spin magnetization = 0.0 μB per cell
# Density of states at the Fermi level = 4.716 states/eV/f.u.
data_RbNa2PS4
_space_group_name_H-M_alt 'C 1 2/c 1'
_space_group_IT_number 15
_space_group_name_Hall '-C 2yc'
_cell_length_a 11.454
_cell_length_b 11.077
_cell_length_c 8.337
_cell_angle_alpha 90.00
_cell_angle_beta 122.58
_cell_angle_gamma 90.00
loop_
_atom_site_label
_atom_site_type_symbol
_atom_site_fract_x
_atom_site_fract_y
_atom_site_fract_z
_atom_site_occupancy
Rb1 Rb 0.000 0.000 0.000 1
Na1 Na 0.000 0.500 0.000 1
Na2 Na 0.250 0.250 0.000 1
P1 P 0.250 0.250 0.500 1
S1 S 0.120 0.267 0.622 1
S2 S 0.203 0.432 0.408 1

=====

Record 2
# RbNaPS2 GGA-PBE relaxed
# ΔE_f (raw) = 85 kJ/mol of atoms
# Crystal system = tetragonal
# Spin magnetization = 5.0 μB per cell
# Density of states at the Fermi level = 5.109 states/eV/f.u.
# Excess energy over the best structure of this formula in the dataset = 1446.2 meV/atom
data_RbNaPS2
_space_group_name_H-M_alt 'P 4/m m m'
_space_group_IT_number 123
_space_group_name_Hall '-P 4 2'
_cell_length_a 6.045
_cell_length_b 6.045
_cell_length_c 6.291
_cell_angle_alpha 90.00
_cell_angle_beta 90.00
_cell_angle_gamma 90.00
loop_
_atom_site_label
_atom_site_type_symbol
_atom_site_fract_x
_atom_site_fract_y
_atom_site_fract_z
_atom_site_occupancy
Rb1 Rb 0.000 0.000 0.000 1
Na1 Na 0.500 0.500 0.500 1
P1 P 0.000 0.000 0.500 1
S1 S 0.000 0.500 0.000 1

=====

Record 3
# RbNaPS2 GGA-PBE relaxed
# ΔE_f (raw) = -54 kJ/mol of atoms
# Crystal system = orthorhombic
# Spin magnetization = 0.0 μB per cell
# Excess energy over the best structure of this formula in the dataset = 0.0 meV/atom
data_RbNaPS2
_space_group_name_H-M_alt 'P m m a'
_space_group_IT_number 51
_space_group_name_Hall '-P 2a 2a'
_cell_length_a 4.868
_cell_length_b 7.771
_cell_length_c 6.536
_cell_angle_alpha 90.00
_cell_angle_beta 90.00
_cell_angle_gamma 90.00
loop_
_atom_site_label
_atom_site_type_symbol
_atom_site_fract_x
_atom_site_fract_y
_atom_site_fract_z
_atom_site_occupancy
Rb1 Rb 0.250 0.000 0.224 1
Na1 Na 0.250 0.500 0.399 1
P1 P 0.000 0.500 0.000 1
S1 S 0.250 0.291 0.775 1

=====

Record 4
# Rb3NaP2S6 GGA-PBE relaxed
# ΔE_f (raw) = -73 kJ/mol of atoms
# Crystal system = trigonal
# Spin magnetization = 1.5 μB per cell
# Density of states at the Fermi level = 4.804 states/eV/f.u.
data_Rb3NaP2S6
_space_group_name_H-M_alt 'P -3 m 1'
_space_group_IT_number 164
_space_group_name_Hall '-P 3 2"'
_cell_length_a 7.2083
_cell_length_b 7.2083
_cell_length_c 9.0776
_cell_angle_alpha 90.00
_cell_angle_beta 90.00
_cell_angle_gamma 120.00
loop_
_atom_site_label
_atom_site_type_symbol
_atom_site_fract_x
_atom_site_fract_y
_atom_site_fract_z
_atom_site_occupancy
Rb1 Rb 0.0000 0.0000 0.0000 1
Rb2 Rb 0.3333 0.6667 0.6464 1
Na1 Na 0.0000 0.0000 0.5000 1
P1 P 0.3333 0.6667 0.2346 1
S1 S 0.1753 0.3505 0.2893 1

=====

Record 5
# Rb2NaP2S6 GGA-PBE relaxed
# ΔE_f (raw) = -68 kJ/mol of atoms
# Crystal system = monoclinic
# Spin magnetization = 1.4 μB per cell
# Density of states at the Fermi level = 3.420 states/eV/f.u.
data_Rb2NaP2S6
_space_group_name_H-M_alt 'C 1 2/m 1'
_space_group_IT_number 12
_space_group_name_Hall '-C 2y'
_cell_length_a 12.464
_cell_length_b 7.048
_cell_length_c 8.199
_cell_angle_alpha 90.00
_cell_angle_beta 118.90
_cell_angle_gamma 90.00
loop_
_atom_site_label
_atom_site_type_symbol
_atom_site_fract_x
_atom_site_fract_y
_atom_site_fract_z
_atom_site_occupancy
Rb1 Rb 0.212 0.000 0.216 1
Na1 Na 0.000 0.000 0.500 1
P1 P 0.034 0.500 0.189 1
S1 S 0.047 0.259 0.802 1
S2 S 0.216 0.500 0.307 1

=====

Record 6
# RbNaPS3 GGA-PBE relaxed
# ΔE_f (raw) = -81 kJ/mol of atoms
# Crystal system = monoclinic
# Spin magnetization = 0.0 μB per cell
# Density of states at the Fermi level = 0.000 states/eV/f.u.
data_RbNaPS3
_space_group_name_H-M_alt 'C 1 2/m 1'
_space_group_IT_number 12
_space_group_name_Hall '-C 2y'
_cell_length_a 12.436
_cell_length_b 7.536
_cell_length_c 7.947
_cell_angle_alpha 90.00
_cell_angle_beta 95.14
_cell_angle_gamma 90.00
loop_
_atom_site_label
_atom_site_type_symbol
_atom_site_fract_x
_atom_site_fract_y
_atom_site_fract_z
_atom_site_occupancy
Rb1 Rb 0.167 0.000 0.394 1
Na1 Na 0.000 0.293 0.000 1
P1 P 0.018 0.500 0.645 1
S1 S 0.103 0.274 0.706 1
S2 S 0.126 0.500 0.250 1

=====

Record 7
# RbNaPS2 GGA-PBE relaxed
# ΔE_f (raw) = 40 kJ/mol of atoms
# Crystal system = tetragonal
# Spin magnetization = 3.2 μB per cell
# Density of states at the Fermi level = 5.817 states/eV/f.u.
# Excess energy over the best structure of this formula in the dataset = 984.4 meV/atom
data_RbNaPS2
_space_group_name_H-M_alt 'P 4/m m m'
_space_group_IT_number 123
_space_group_name_Hall '-P 4 2'
_cell_length_a 5.288
_cell_length_b 5.288
_cell_length_c 5.285
_cell_angle_alpha 90.00
_cell_angle_beta 90.00
_cell_angle_gamma 90.00
loop_
_atom_site_label
_atom_site_type_symbol
_atom_site_fract_x
_atom_site_fract_y
_atom_site_fract_z
_atom_site_occupancy
Rb1 Rb 0.000 0.000 0.000 1
Na1 Na 0.500 0.500 0.500 1
P1 P 0.500 0.500 0.000 1
S1 S 0.000 0.500 0.500 1

=====

Record 8
# Rb2NaPSe4 GGA-PBE relaxed
# ΔE_f (raw) = -75 kJ/mol of atoms
# Crystal system = orthorhombic
# Spin magnetization = 0.0 μB per cell
# Density of states at the Fermi level = 0.000 states/eV/f.u.
data_Rb2NaPSe4
_space_group_name_H-M_alt 'F d d d'
_space_group_IT_number 70
_cell_length_a 6.629
_cell_length_b 13.825
_cell_length_c 25.420
_cell_angle_alpha 90.00
_cell_angle_beta 90.00
_cell_angle_gamma 90.00
loop_
_space_group_symop_operation_xyz
'x,y,z'
'-x,-y,-z'
'-x+1/4,-y+1/4,z'
'x+1/4,y+1/4,-z'
'x,-y+1/4,-z+1/4'
'-x,y+1/4,z+1/4'
'-x+1/4,y,-z+1/4'
'x+1/4,-y,z+1/4'
'x,y+1/2,z+1/2'
'-x,-y+1/2,-z+1/2'
'-x+1/4,-y+3/4,z+1/2'
'x+1/4,y+3/4,-z+1/2'
'x,-y+3/4,-z+3/4'
'-x,y+3/4,z+3/4'
'-x+1/4,y+1/2,-z+3/4'
'x+1/4,-y+1/2,z+3/4'
'x+1/2,y,z+1/2'
'-x+1/2,-y,-z+1/2'
'-x+3/4,-y+1/4,z+1/2'
'x+3/4,y+1/4,-z+1/2'
'x+1/2,-y+1/4,-z+3/4'
'-x+1/2,y+1/4,z+3/4'
'-x+3/4,y,-z+3/4'
'x+3/4,-y,z+3/4'
'x+1/2,y+1/2,z'
'-x+1/2,-y+1/2,-z'
'-x+3/4,-y+3/4,z'
'x+3/4,y+3/4,-z'
'x+1/2,-y+3/4,-z+1/4'
'-x+1/2,y+3/4,z+1/4'
'-x+3/4,y+1/2,-z+1/4'
'x+3/4,-y+1/2,z+1/4'
loop_
_atom_site_label
_atom_site_type_symbol
_atom_site_fract_x
_atom_site_fract_y
_atom_site_fract_z
_atom_site_occupancy
Rb1 Rb 0.125 0.125 0.310 1
Na1 Na 0.125 0.125 0.125 1
P1 P 0.125 0.125 0.625 1
Se1 Se 0.060 0.278 0.823 1